(1)
Material: CsCa3Se4O12
Method: DFT, PBE
State: relaxed

- Final energy: -5.268 eV/atom
- Fermi-level density of states: 10.9 states/eV per cell
- Formation energy without anion corrections: -25.07 eV/f.u.

```
CsCa3Se4O12
1.0
-2.2731 1.9839 6.9948
1.0535 -7.5396 0.2731
6.9604 2.9920 -0.7944
Cs Ca Se O
1 3 4 12
Cartesian
0.0000 0.0000 0.0000 Cs
-0.8020 -2.2275 4.0224 Ca
2.8773 2.5462 2.6501 Ca
3.6656 -2.8825 -0.1989 Ca
1.3807 2.9828 6.2468 Se
7.0053 -0.8305 -0.2513 Se
0.2253 -5.9980 3.7148 Se
2.8704 -1.2819 3.2368 Se
3.7516 0.2892 3.0775 O
-0.7707 -1.6794 6.3083 O
4.1822 -5.0373 0.5862 O
5.1997 2.8711 2.8158 O
1.7115 -5.8043 2.8232 O
6.6006 0.3803 0.9369 O
0.7780 1.3645 6.4902 O
-0.3147 -4.5045 4.4354 O
5.9307 -2.2027 -0.1916 O
2.5164 3.0754 4.9266 O
1.4930 -1.4323 4.3988 O
3.3667 -2.7026 2.2340 O
```

(2)
Material: CsCaSe2O8
Method: DFT, PBE
State: relaxed

- Final energy: -5.374 eV/atom
- Fermi-level density of states: 15.0 states/eV per cell
- Formation energy without anion corrections: -15.00 eV/f.u.

```
CsCaSe2O8
1.0
-1.6533 2.1497 -4.9765
0.4178 -5.6129 0.6637
-8.5695 -0.3175 2.7098
Cs Ca Se O
1 1 2 8
Cartesian
0.0000 0.0000 0.0000 Cs
-4.2847 -0.1587 1.3549 Ca
-3.3598 -0.5266 -2.3385 Se
-6.4451 -3.2541 0.7355 Se
-8.0412 -3.3132 1.2402 O
-3.3752 -0.8294 -0.6965 O
-4.0667 0.9481 -2.6750 O
-1.7637 -0.4675 -2.8432 O
-5.7383 -4.7288 1.0720 O
-6.4297 -2.9513 -0.9064 O
-5.6806 -2.0270 1.5708 O
-4.1243 -1.7537 -3.1738 O
```

(3)
Material: Cs2CaSe2O6
Method: DFT, PBE
State: relaxed

- Final energy: -5.303 eV/atom
- Fermi-level density of states: 0.0 states/eV per cell
- Formation energy without anion corrections: -17.90 eV/f.u.

```
Cs2CaSe2O6
1.0
-2.5164 4.8123 3.1333
-0.8210 -5.8523 2.0563
6.8980 1.7753 2.8133
Cs Ca Se O
2 1 2 6
Cartesian
-0.6063 0.8636 4.4594 Cs
4.1668 -0.1283 3.5435 Cs
2.1908 3.2938 2.9733 Ca
2.4537 1.1517 6.4745 Se
1.1068 -0.4164 1.5284 Se
2.5347 2.1238 5.0466 O
1.4677 1.1692 2.1068 O
3.5165 -3.1566 4.1234 O
2.0928 -0.4339 5.8961 O
0.0440 3.8919 3.8795 O
1.0258 -1.3884 2.9563 O
```

(4)
Material: Cs3CaSi2O6
Method: DFT, PBE
State: relaxed

- Final energy: -5.959 eV/atom
- Fermi-level density of states: 2.5 states/eV per cell
- Formation energy without anion corrections: -26.35 eV/f.u.

```
Cs3CaSi2O6
1.0
-2.5423 -5.5702 0.7558
6.0710 0.5141 -0.9703
1.2257 0.5185 7.9442
Cs Ca Si O
3 1 2 6
Cartesian
4.0978 -1.1342 5.4245 Cs
0.6566 -3.4035 2.3052 Cs
0.0000 0.0000 0.0000 Cs
0.6129 0.2593 3.9721 Ca
1.1841 -3.1803 5.7241 Si
3.5703 -1.3573 2.0056 Si
3.7435 -2.9348 2.2541 O
2.1612 -0.6675 2.3503 O
4.8836 -0.4369 1.9152 O
2.5932 -3.8702 5.3795 O
1.0108 -1.6028 5.4756 O
-0.1292 -4.1007 5.8146 O
```